The following is a DFT calculation (PBE) of crystalline InAgP2 at its relaxed geometry.

Lattice parameters (Å, degrees): 5.7467 5.7467 5.7467 147.24 130.02 61.06
With the nearest neighbours (Å) after each atom.
Element x y z (fractional)
Ag 0.5146 0.5146 0.0000  8 P 2.97-3.24, 4 In 3.22-3.26, 2 Ag 3.24
P 0.9584 0.9584 0.0000  2 P 2.27
P 0.7982 0.2982 0.5000  2 P 2.27
In 0.2288 0.7288 0.5000  8 P 3.00-3.33, 4 Ag 3.22-3.26, 2 In 3.24

Results
Calculated formation energy (eV/atom): 0.2479
Magnetic moment (μB per formula unit): 0.0
E (eV/cell): -15.42
Calculated volume (Å³/atom): 19.48

The following is a DFT calculation (PBE) of crystalline Tb2PrCd at its relaxed geometry.

Lattice parameters (Å, degrees): 3.6276 3.6276 11.1124 80.61 80.61 60.00
With the nearest neighbours (Å) after each atom.
Element x y z (fractional)
Tb 0.7429 0.7429 0.7713  3 Cd 3.26, 3 Pr 3.63, 6 Tb 3.63
Tb 0.2571 0.2571 0.2287  3 Cd 3.26, 3 Pr 3.63, 6 Tb 3.63
Pr 0.5000 0.5000 0.5000  6 Tb 3.63, 6 Pr 3.63
Cd 0.0000 0.0000 0.0000  6 Tb 3.26, 6 Cd 3.63

Results
Calculated formation energy (eV/atom): -0.0789
Magnetic moment (μB per formula unit): 0.0
Energy above the lowest structure with this stoichiometry (meV per atom): 69.3
E (eV/cell): -15.27
Calculated volume (Å³/atom): 31.09

The following is a DFT calculation (PBE) of crystalline GdDyTlAg at its relaxed geometry.

Lattice parameters (Å, degrees): 5.2842 5.2842 5.2842 60.00 60.00 60.00
With the nearest neighbours (Å) after each atom.
Element x y z (fractional)
Tl 0.0000 0.0000 0.0000  4 Gd 3.24, 4 Dy 3.24
Ag 0.5000 0.5000 0.5000  4 Dy 3.24, 4 Gd 3.24
Gd 0.2500 0.2500 0.2500  4 Tl 3.24, 4 Ag 3.24
Dy 0.7500 0.7500 0.7500  4 Ag 3.24, 4 Tl 3.24

Results
Calculated formation energy (eV/atom): -0.3429
Magnetic moment (μB per formula unit): 7.5
E (eV/cell): -25.27
Calculated volume (Å³/atom): 26.08

The following is a DFT calculation (PBE) of crystalline Ca3Mg4Ge4 at its relaxed geometry.

Lattice parameters (Å, degrees): 4.5013 7.3947 8.6803 115.21 105.03 90.00
With the nearest neighbours (Å) after each atom.
Element x y z (fractional)
Ca 0.8853 0.8853 0.7706  6 Ge 3.14-3.38, 4 Mg 3.27, 1 Ca 3.45
Ca 0.1147 0.1147 0.2294  6 Ge 3.14-3.38, 4 Mg 3.27, 1 Ca 3.45
Ca 0.0000 0.5000 0.0000  6 Ge 3.26-3.27
Mg 0.3285 0.1277 0.6569  4 Ge 2.72-2.78, 1 Mg 2.97
Mg 0.6715 0.4707 0.3431  4 Ge 2.72-2.78, 1 Mg 2.97
Mg 0.3285 0.5293 0.6569  4 Ge 2.72-2.78, 1 Mg 2.97
Mg 0.6715 0.8723 0.3431  4 Ge 2.72-2.78, 1 Mg 2.97
Ge 0.5000 0.8188 0.0000  1 Ge 2.68, 2 Mg 2.72
Ge 0.7824 0.2824 0.5649  6 Mg 2.77-2.78
Ge 0.5000 0.1812 0.0000  1 Ge 2.68, 2 Mg 2.72
Ge 0.2176 0.7176 0.4351  6 Mg 2.77-2.78

Results
Calculated formation energy (eV/atom): -0.5008
Magnetic moment (μB per formula unit): 0.0
E (eV/cell): -36.36
Calculated volume (Å³/atom): 22.77